[1]
Density functional theory data (PBE) for Co2TcAg after structural relaxation.

As for the distance to the lowest polymorph of the same formula: 0.354 eV per atom.

a = 2.672 Å, b = 4.496 Å, c = 4.667 Å
α = 90.00°, β = 90.00°, γ = 90.00°
Space group Pmmm (No. 47)
Asymmetric unit:
Co1 0.000 0.000 0.000 [1 per cell]
Co2 0.500 0.000 0.500 [1 per cell]
Tc1 0.000 0.500 0.500 [1 per cell]
Ag1 0.500 0.500 0.000 [1 per cell]

=====

[2]
Density functional theory data (PBE) for CoTcAg3 after structural relaxation.

Its uncorrected energy is -3.752 eV per atom.

a = 4.726 Å, b = 4.726 Å, c = 4.726 Å
α = 90.00°, β = 90.00°, γ = 90.00°
Space group Pm-3m (No. 221)
Asymmetric unit:
Co1 0.000 0.000 0.000 [1 per cell]
Tc1 0.500 0.500 0.500 [1 per cell]
Ag1 0.000 0.000 0.500 [3 per cell]

=====

[3]
Density functional theory data (PBE) for CoTc2Ag after structural relaxation.

As for the distance to the lowest polymorph of the same formula: 0.165 eV per atom.

a = 9.414 Å, b = 2.710 Å, c = 4.630 Å
α = 90.00°, β = 102.93°, γ = 90.00°
Space group C2/m (No. 12)
Asymmetric unit:
Co1 0.000 0.000 0.000 [2 per cell]
Tc1 0.233 0.500 0.231 [4 per cell]
Ag1 0.000 0.500 0.500 [2 per cell]

=====

[4]
Density functional theory data (PBE) for CoTc2Ag after structural relaxation.

As for the distance to the lowest polymorph of the same formula: 0.242 eV per atom.

a = 5.261 Å, b = 8.210 Å, c = 2.645 Å
α = 90.00°, β = 90.00°, γ = 90.00°
Space group Cmmm (No. 65)
Asymmetric unit:
Co1 0.000 0.000 0.000 [2 per cell]
Tc1 0.250 0.250 0.500 [4 per cell]
Ag1 0.000 0.500 0.000 [2 per cell]

=====

[5]
Density functional theory data (PBE) for Co2TcAg after structural relaxation.

As for the distance to the lowest polymorph of the same formula: 0.184 eV per atom.

a = 5.555 Å, b = 7.382 Å, c = 2.638 Å
α = 90.00°, β = 90.00°, γ = 90.00°
Space group Cmmm (No. 65)
Asymmetric unit:
Co1 0.250 0.250 0.000 [4 per cell]
Tc1 0.000 0.000 0.500 [2 per cell]
Ag1 0.000 0.500 0.500 [2 per cell]

=====

[6]
Density functional theory data (PBE) for CoTcAg after structural relaxation.

As for the distance to the lowest polymorph of the same formula: 0.125 eV per atom.

a = 2.836 Å, b = 4.498 Å, c = 13.863 Å
α = 90.00°, β = 90.00°, γ = 90.00°
Space group Fmm2 (No. 42)
Asymmetric unit:
Co1 0.000 0.000 0.000 [4 per cell]
Tc1 0.000 0.000 0.354 [4 per cell]
Ag1 0.000 0.000 0.670 [4 per cell]